[1]
The following is a DFT calculation (GGA-PBEsol) of a geometry-optimized KRbBiAu2 structure.

Output
- calculated formation energy (eV per atom) = 0.704
- magnetization (Bohr magnetons per cell) = 2.0
- E (eV per cell) = -10.8

Unit cell a=5.8259 b=5.8259 c=6.1200 alpha=90.00 beta=90.00 gamma=90.00
Space group P4/mmm (No. 123)
Inequivalent atoms, fractional coordinates:
K (0.0000, 0.0000, 0.0000) (multiplicity 1)
Rb (0.5000, 0.5000, 0.5000) (multiplicity 1)
Bi (0.0000, 0.0000, 0.5000) (multiplicity 1)
Au (0.0000, 0.5000, 0.0000) (multiplicity 2)

***

[2]
The following is a DFT calculation (GGA-PBEsol) of a geometry-optimized AlAg2Se structure.

Output
- E_form (uncorrected) (eV per atom) = 0.05
- magnetization (Bohr magnetons per cell) = 0.0
- E (eV per cell) = -28.7

Unit cell a=4.0101 b=4.0101 c=8.8022 alpha=90.00 beta=90.00 gamma=90.00
Space group I4/mmm (No. 139)
Inequivalent atoms, fractional coordinates:
Al (0.0000, 0.0000, 0.0000) (multiplicity 2)
Ag (0.0000, 0.5000, 0.2500) (multiplicity 4)
Se (0.0000, 0.0000, 0.5000) (multiplicity 2)

***

[3]
The following is a DFT calculation (GGA-PBEsol) of a geometry-optimized Sr2LiIr structure.

Output
- calculated formation energy (eV per atom) = 0.153
- magnetization (Bohr magnetons per cell) = 0.0
- E (eV per cell) = -44.6

Unit cell a=4.2684 b=4.2684 c=26.1196 alpha=90.00 beta=90.00 gamma=120.00
Space group R-3m (No. 166, hexagonal axes)
Inequivalent atoms, fractional coordinates:
Sr (0.0000, 0.0000, 0.2254) (multiplicity 6)
Li (0.0000, 0.0000, 0.0000) (multiplicity 3)
Ir (0.0000, 0.0000, 0.5000) (multiplicity 3)

***

[4]
The following is a DFT calculation (GGA-PBEsol) of a geometry-optimized GaTeC2 structure.

Output
- E_form (uncorrected) (eV per atom) = 2.16
- magnetization (Bohr magnetons per cell) = 0.0
- E (eV per cell) = -70.1

Unit cell a=5.8976 b=5.8976 c=5.8976 alpha=90.00 beta=90.00 gamma=90.00
Space group Fm-3m (No. 225)
Inequivalent atoms, fractional coordinates:
Ga (0.0000, 0.0000, 0.0000) (multiplicity 4)
Te (0.0000, 0.0000, 0.5000) (multiplicity 4)
C (0.2500, 0.2500, 0.2500) (multiplicity 8)

***

[5]
The following is a DFT calculation (GGA-PBEsol) of a geometry-optimized In2OsPt structure.

Output
- calculated formation energy (eV per atom) = 0.182
- magnetization (Bohr magnetons per cell) = 0.0
- E (eV per cell) = -48.8

Unit cell a=2.9074 b=4.5032 c=11.2365 alpha=90.00 beta=90.00 gamma=90.00
Space group Imm2 (No. 44)
Inequivalent atoms, fractional coordinates:
In (0.0000, 0.0000, 0.0000) (multiplicity 2)
In (0.0000, 0.5000, 0.2094) (multiplicity 2)
Os (0.0000, 0.5000, 0.7157) (multiplicity 2)
Pt (0.0000, 0.0000, 0.4165) (multiplicity 2)

***

[6]
The following is a DFT calculation (GGA-PBEsol) of a geometry-optimized Cu2OsW structure.

Output
- calculated formation energy (eV per atom) = 0.388
- E above lowest polymorph (meV/atom) = 106
- magnetization (Bohr magnetons per cell) = 0.0
- E (eV per cell) = -33.1

Unit cell a=2.6467 b=3.9254 c=5.0897 alpha=90.00 beta=90.00 gamma=90.00
Space group Pmmm (No. 47)
Inequivalent atoms, fractional coordinates:
Cu (0.0000, 0.0000, 0.2480) (multiplicity 2)
Os (0.5000, 0.5000, 0.0000) (multiplicity 1)
W (0.5000, 0.5000, 0.5000) (multiplicity 1)

***

[7]
The following is a DFT calculation (GGA-PBEsol) of a geometry-optimized H6W structure.

Output
- magnetization (Bohr magnetons per cell) = 0.0
- E (eV per cell) = -129.5

Unit cell a=10.2146 b=2.9971 c=6.2291 alpha=90.00 beta=119.82 gamma=90.00
Space group C2/m (No. 12)
Inequivalent atoms, fractional coordinates:
H (0.0175, 0.0000, 0.2222) (multiplicity 4)
H (0.0422, 0.5000, 0.5568) (multiplicity 4)
H (0.0715, 0.5000, 0.9392) (multiplicity 4)
H (0.1596, 0.0000, 0.5047) (multiplicity 4)
H (0.1956, 0.0000, 0.1681) (multiplicity 4)
H (0.2381, 0.0000, 0.8323) (multiplicity 4)
W (0.1410, 0.5000, 0.2777) (multiplicity 4)

***

[8]
The following is a DFT calculation (GGA-PBEsol) of a geometry-optimized Zn3Au structure.

Output
- calculated formation energy (eV per atom) = -0.137
- magnetization (Bohr magnetons per cell) = 0.0
- E (eV per cell) = -18.4

Unit cell a=2.9069 b=8.6666 c=4.6657 alpha=90.00 beta=90.00 gamma=90.00
Space group Imm2 (No. 44)
Inequivalent atoms, fractional coordinates:
Zn (0.0000, 0.0000, 0.0000) (multiplicity 2)
Zn (0.0000, 0.2482, 0.3403) (multiplicity 4)
Au (0.0000, 0.5000, 0.0058) (multiplicity 2)

***

What did the fourth record say?
The following is a DFT calculation (GGA-PBEsol) of a geometry-optimized GaTeC2 structure.

Output
- E_form (uncorrected) (eV per atom) = 2.16
- magnetization (Bohr magnetons per cell) = 0.0
- E (eV per cell) = -70.1

Unit cell a=5.8976 b=5.8976 c=5.8976 alpha=90.00 beta=90.00 gamma=90.00
Space group Fm-3m (No. 225)
Inequivalent atoms, fractional coordinates:
Ga (0.0000, 0.0000, 0.0000) (multiplicity 4)
Te (0.0000, 0.0000, 0.5000) (multiplicity 4)
C (0.2500, 0.2500, 0.2500) (multiplicity 8)

***

> E of number 3 (Sr2LiIr)?

-44.6 eV per cell